Entry 1:
! Ta2Mn3Co | the Alexandria database | PBE-GGA | optimized geometry; values from VASP
&SYSTEM
  ibrav = 0, nat = 6, ntyp = 3
/
ATOMIC_SPECIES
Ta 180.95 Ta.upf
Mn 54.94 Mn.upf
Co 58.93 Co.upf
CELL_PARAMETERS angstrom
-4.574 -1.037 -0.529
3.130 -1.399 -3.243
2.558 -2.301 3.456
ATOMIC_POSITIONS crystal
Ta 0.756 0.378 0.134
Ta 0.244 0.622 0.866
Mn 0.500 0.500 0.500
Mn 0.000 0.000 0.500
Mn 0.500 0.000 0.500
Co 0.000 0.000 0.000
! **Crystal system**: trigonal
! **Magnetization**: 0.00 μB/f.u.
! **Energy**: -59.68 eV/cell
! **Formation enthalpy at 0 K**: -227 meV/atom

Entry 2:
! K2BaTc | the Alexandria database | PBE-GGA | optimized geometry; values from VASP
&SYSTEM
  ibrav = 0, nat = 4, ntyp = 3
/
ATOMIC_SPECIES
Ba 137.33 Ba.upf
K 39.10 K.upf
Tc 98.00 Tc.upf
CELL_PARAMETERS angstrom
0.005 -5.290 -4.361
4.288 1.723 -5.064
0.156 -0.934 6.790
ATOMIC_POSITIONS crystal
Ba 0.683 0.183 0.500
K 0.983 0.983 0.000
K 0.289 0.789 0.500
Tc 0.544 0.544 0.000
! **Crystal system**: orthorhombic
! **Magnetization**: 2.01 μB/f.u.
! **Energy**: -10.34 eV/cell
! **ΔE to the lowest computed polymorph**: 161.6 meV/atom
! **Formation enthalpy at 0 K**: 1036 meV/atom

Entry 3:
! CeInHgGe | the Alexandria database | PBE-GGA | optimized geometry; values from VASP
&SYSTEM
  ibrav = 0, nat = 4, ntyp = 4
/
ATOMIC_SPECIES
Ce 140.12 Ce.upf
In 114.82 In.upf
Hg 200.59 Hg.upf
Ge 72.64 Ge.upf
CELL_PARAMETERS angstrom
4.335 0.000 0.000
0.000 4.434 0.000
0.000 0.000 4.995
ATOMIC_POSITIONS crystal
Ce 0.500 0.000 0.500
In 0.500 0.500 0.000
Hg 0.000 0.000 0.000
Ge 0.000 0.500 0.500
! **Crystal system**: orthorhombic
! **Magnetization**: 0.77 μB/f.u.
! **Energy**: -15.25 eV/cell
! **ΔE to the lowest computed polymorph**: 0.0 meV/atom
! **Formation enthalpy at 0 K**: -415 meV/atom

Entry 4:
! BaSr2Cu | the Alexandria database | PBE-GGA | optimized geometry; values from VASP
&SYSTEM
  ibrav = 0, nat = 4, ntyp = 3
/
ATOMIC_SPECIES
Ba 137.33 Ba.upf
Cu 63.55 Cu.upf
Sr 87.62 Sr.upf
CELL_PARAMETERS angstrom
-1.479 -0.023 4.224
3.496 -6.311 1.190
6.860 -0.719 2.398
ATOMIC_POSITIONS crystal
Ba 0.500 0.250 0.250
Cu 0.500 0.750 0.750
Sr 0.000 0.910 0.909
Sr 0.000 0.590 0.591
! **Crystal system**: monoclinic
! **Magnetization**: 0.00 μB/f.u.
! **Energy**: -9.19 eV/cell
! **ΔE to the lowest computed polymorph**: 50.2 meV/atom
! **Formation enthalpy at 0 K**: 48 meV/atom